Computed, not measured: Y2PbBr after structural relaxation at the PBE-GGA level of DFT.

Values from the calculation:
Its crystal system is cubic. Its density of states at the Fermi level is 3.7 states/eV/f.u. The offset from the most stable computed form comes out at 748 meV per atom. As for the total energy: -4.5988 eV per atom.

a b c (Å): 5.494 5.494 5.494
angles (deg): 60.00 60.00 60.00
Fractional positions:
Y1 0.250 0.250 0.250
Y2 0.000 0.000 0.000
Pb1 0.750 0.750 0.750
Br1 0.500 0.500 0.500

Computed, not measured: Y2ScRh after structural relaxation at the PBE-GGA level of DFT.

Values from the calculation:
Its crystal system is cubic. Its density of states at the Fermi level is 6.1 states/eV/f.u. The formation energy is -182 meV per atom. The offset from the most stable computed form comes out at 278 meV per atom. As for the total energy: -6.8349 eV per atom.

a b c (Å): 5.095 5.095 5.095
angles (deg): 60.00 60.00 60.00
Fractional positions:
Y1 0.750 0.750 0.750
Y2 0.250 0.250 0.250
Rh1 0.500 0.500 0.500
Sc1 0.000 0.000 0.000

Computed, not measured: TcHgSbAs2 after structural relaxation at the PBE-GGA level of DFT.

Values from the calculation:
Its crystal system is tetragonal. Its density of states at the Fermi level is 3.5 states/eV/f.u. As for the total energy: -3.3935 eV per atom.

a b c (Å): 5.130 5.264 5.130
angles (deg): 90.00 90.00 90.00
Fractional positions:
As1 0.000 0.000 0.500
As2 0.500 0.000 0.000
Hg1 0.000 0.000 0.000
Tc1 0.000 0.500 0.000
Sb1 0.500 0.500 0.500

Computed, not measured: CaSnHgGe after structural relaxation at the PBE-GGA level of DFT.

Values from the calculation:
Its crystal system is cubic. Its density of states at the Fermi level is 1.2 states/eV/f.u. The formation energy is -250 meV per atom. As for the total energy: -2.9804 eV per atom.

a b c (Å): 5.246 5.246 5.246
angles (deg): 60.00 60.00 60.00
Fractional positions:
Ca1 0.000 0.000 0.000
Hg1 0.750 0.750 0.750
Ge1 0.250 0.250 0.250
Sn1 0.500 0.500 0.500

Computed, not measured: La5USe8 after structural relaxation at the PBE-GGA level of DFT.

Values from the calculation:
Its crystal system is tetragonal. Its density of states at the Fermi level is 12.7 states/eV/f.u. As for the total energy: -6.4116 eV per atom.

a b c (Å): 7.823 7.823 7.823
angles (deg): 109.32 109.78 109.32
Fractional positions:
Se1 0.782 0.251 0.378
Se2 0.469 0.596 0.218
Se3 0.130 0.749 0.024
Se4 0.622 0.404 0.874
Se5 0.276 0.251 0.381
Se6 0.619 0.895 0.870
Se7 0.976 0.105 0.724
Se8 0.126 0.749 0.531
U1 0.250 0.500 0.750
La1 0.751 0.622 0.625
La2 0.003 0.378 0.129
La3 0.500 0.000 0.500
La4 0.375 0.126 0.997
La5 0.871 0.874 0.249

Computed, not measured: ReAgBr2 after structural relaxation at the PBE-GGA level of DFT.

Values from the calculation:
Its crystal system is monoclinic. Its density of states at the Fermi level is 2.6 states/eV/f.u. The offset from the most stable computed form comes out at 243 meV per atom. As for the total energy: -3.9802 eV per atom.

a b c (Å): 3.849 3.849 9.531
angles (deg): 83.79 83.79 47.81
Fractional positions:
Re1 0.750 0.750 0.750
Br1 0.023 0.023 0.905
Br2 0.477 0.477 0.595
Ag1 0.250 0.250 0.250

Computed, not measured: NaTaAsBr2 after structural relaxation at the PBE-GGA level of DFT.

Values from the calculation:
Its crystal system is tetragonal. Its density of states at the Fermi level is 1.5 states/eV/f.u. The offset from the most stable computed form comes out at 0 meV per atom. As for the total energy: -4.5723 eV per atom.

a b c (Å): 5.286 5.286 5.021
angles (deg): 90.00 90.00 90.00
Fractional positions:
Br1 0.500 0.000 0.000
Br2 0.000 0.500 0.000
Ta1 0.000 0.000 0.000
Na1 0.500 0.500 0.500
As1 0.000 0.000 0.500

Computed, not measured: Nb2CrGa2 after structural relaxation at the PBE-GGA level of DFT.

Values from the calculation:
Its crystal system is tetragonal. Its density of states at the Fermi level is 0.9 states/eV/f.u. The formation energy is -142 meV per atom. As for the total energy: -7.3051 eV per atom.

a b c (Å): 6.612 6.612 3.627
angles (deg): 90.00 90.00 90.00
Fractional positions:
Nb1 0.328 0.172 0.500
Nb2 0.828 0.328 0.500
Nb3 0.172 0.672 0.500
Nb4 0.672 0.828 0.500
Cr1 0.500 0.500 0.000
Cr2 0.000 0.000 0.000
Ga1 0.867 0.633 0.000
Ga2 0.633 0.133 0.000
Ga3 0.133 0.367 0.000
Ga4 0.367 0.867 0.000